This record from the Alexandria database describes crystalline LiIrSe2 at its relaxed geometry. The functional is PBE.

```
LiIrSe2
1.0
-1.8321 3.0321 3.7100
1.8321 -3.0321 3.7100
1.8321 3.0321 -3.7100
Li Ir Se
1 1 2
Cartesian
0.0000 0.0000 0.0000 Li
0.0000 0.0000 3.7100 Ir
1.8321 0.0000 2.1195 Se
0.0000 3.0321 1.5905 Se
```

Output
The value obtained for the total energy is -4.6664 eV per atom. The density of states at the Fermi level comes out at 0.44 states/eV/atom.